Record 1
VASP calculation (PBE) on La6TcRh2Br3 after structural relaxation.

Cell: 7.236 7.236 8.301 Å, 98.36 98.36 120.02°
Positions (direct):
1 La 0.066 0.392 0.197
2 La 0.260 0.260 0.803
3 La 0.392 0.066 0.197
4 La 0.608 0.934 0.803
5 La 0.740 0.740 0.197
6 La 0.934 0.608 0.803
7 Tc 0.000 0.000 0.000
8 Rh 0.333 0.667 0.000
9 Rh 0.667 0.333 0.000
10 Br 0.164 0.836 0.500
11 Br 0.500 0.500 0.500
12 Br 0.836 0.164 0.500

- uncorrected formation energy (meV/atom) = -1006

---

Record 2
VASP calculation (PBE) on BeCrSe2 after structural relaxation.

Cell: 3.144 3.144 6.116 Å, 90.00 90.00 90.00°
Positions (direct):
1 Be 0.000 0.000 0.000
2 Cr 0.000 0.000 0.500
3 Se 0.500 0.500 0.256
4 Se 0.500 0.500 0.744

- uncorrected formation energy (meV/atom) = 272

---

Record 3
VASP calculation (PBE) on Ac3Hg2Pd2 after structural relaxation.

Cell: 12.076 12.076 4.086 Å, 90.00 90.00 159.80°
Positions (direct):
1 Ac 0.000 0.000 0.000
2 Ac 0.171 0.829 0.000
3 Ac 0.829 0.171 0.000
4 Hg 0.416 0.584 0.500
5 Hg 0.584 0.416 0.500
6 Pd 0.288 0.712 0.500
7 Pd 0.712 0.288 0.500

- formation energy (eV per atom) = -0.672

---

Record 4
VASP calculation (PBE) on YTi2Bi2 after structural relaxation.

Cell: 8.064 8.064 3.675 Å, 90.00 90.00 90.00°
Positions (direct):
1 Y 0.000 0.000 0.000
2 Y 0.500 0.500 0.000
3 Ti 0.141 0.359 0.500
4 Ti 0.359 0.859 0.500
5 Ti 0.641 0.141 0.500
6 Ti 0.859 0.641 0.500
7 Bi 0.149 0.649 0.000
8 Bi 0.351 0.149 0.000
9 Bi 0.649 0.851 0.000
10 Bi 0.851 0.351 0.000

- excess energy over the best structure of this formula in the dataset (meV/atom) = 64
- formation energy (eV per atom) = -0.188

---

Record 5
VASP calculation (PBE) on CaTl3Hg after structural relaxation.

Cell: 6.060 6.060 6.060 Å, 90.00 90.00 90.00°
Positions (direct):
1 Ca 0.000 0.000 0.000
2 Tl 0.000 0.000 0.500
3 Tl 0.000 0.500 0.000
4 Tl 0.500 0.000 0.000
5 Hg 0.500 0.500 0.500

- excess energy over the best structure of this formula in the dataset (meV/atom) = 586
- formation energy (eV per atom) = 0.387

---

Record 6
VASP calculation (PBE) on Ac2Br3 after structural relaxation.

Cell: 10.050 10.050 10.050 Å, 40.27 40.27 40.27°
Positions (direct):
1 Ac 0.166 0.166 0.166
2 Ac 0.334 0.334 0.334
3 Ac 0.666 0.666 0.666
4 Ac 0.834 0.834 0.834
5 Br 0.076 0.750 0.424
6 Br 0.250 0.576 0.924
7 Br 0.424 0.076 0.750
8 Br 0.576 0.924 0.250
9 Br 0.750 0.424 0.076
10 Br 0.924 0.250 0.576

- uncorrected formation energy (meV/atom) = -1336

---

| no. | energy (eV for the cell shown) |
| --- | --- |
| 1 | -71.73 |
| 2 | -19.23 |
| 3 | -28.02 |
| 4 | -61.91 |
| 5 | -7.47 |
| 6 | -39.83 |